# Rb2TiMo3O12, optimized geometry, DFT GGA+U
data_Rb2TiMo3O12
_space_group_name_H-M_alt 'R -3 m'
_space_group_IT_number 166
_space_group_name_Hall '-R 3 2"'
_cell_length_a 7.3717
_cell_length_b 7.3717
_cell_length_c 17.7992
_cell_angle_alpha 90.00
_cell_angle_beta 90.00
_cell_angle_gamma 120.00
loop_
_atom_site_label
_atom_site_type_symbol
_atom_site_fract_x
_atom_site_fract_y
_atom_site_fract_z
_atom_site_occupancy
Rb1 Rb 0.0000 0.0000 0.1324 1
Ti1 Ti 0.0000 0.0000 0.5000 1
Mo1 Mo 0.0000 0.5000 0.0000 1
O1 O 0.0854 0.5427 0.1020 1
O2 O 0.0859 0.5430 0.3556 1
# DOS(E_F) ... 0.00 states/eV per cell
# Raw total energy ... -6.957 eV per atom